A plane-wave DFT calculation with PBE-GGA was carried out for LiLa2PdN after structural relaxation.

Values from the calculation:
* energy: -29.36 eV/cell
* space group: P4/mmm, No. 123
* volume: 20.74 A^3/atom

abc: 5.079 5.079 4.019
angles: 90.00 90.00 90.00
Positions (direct):
Li 0.000 0.000 0.000
La 0.000 0.500 0.500
La 0.500 0.000 0.500
Pd 0.500 0.500 0.000
N 0.000 0.000 0.500

---

A plane-wave DFT calculation with PBE-GGA was carried out for Ho4Pd3Pt2 after structural relaxation.

Values from the calculation:
* space group: C2/m, No. 12
* ΔE_f: -982.5 meV/atom
* volume: 20.85 A^3/atom

abc: 4.715 4.715 9.745
angles: 90.09 90.09 60.03
Positions (direct):
Ho 0.001 0.001 0.334
Ho 0.333 0.333 0.890
Ho 0.667 0.667 0.110
Ho 0.999 0.999 0.666
Pd 0.000 0.000 0.000
Pd 0.333 0.333 0.493
Pd 0.667 0.667 0.507
Pt 0.333 0.333 0.194
Pt 0.667 0.667 0.806

---

A plane-wave DFT calculation with PBE-GGA was carried out for CeErPt2 after structural relaxation.

Values from the calculation:
* space group: R-3m, No. 166
* ΔE_f: -1127.1 meV/atom
* volume: 24.01 A^3/atom

abc: 7.080 7.080 7.080
angles: 33.45 33.45 33.45
Positions (direct):
Ce 0.000 0.000 0.000
Er 0.500 0.500 0.500
Pt 0.249 0.249 0.249
Pt 0.751 0.751 0.751

---

A plane-wave DFT calculation with PBE-GGA was carried out for Tm3Ga2Si2 after structural relaxation.

Values from the calculation:
* energy: -34.94 eV/cell
* space group: C2/m, No. 12
* volume: 20.78 A^3/atom

abc: 5.624 5.624 7.121
angles: 109.97 109.97 43.98
Positions (direct):
Tm 0.000 0.000 0.000
Tm 0.175 0.175 0.624
Tm 0.825 0.825 0.376
Ga 0.311 0.311 0.073
Ga 0.689 0.689 0.927
Si 0.464 0.464 0.654
Si 0.536 0.536 0.346